Entry 1:
VASP calculation (PBE) on a geometry-optimized Dy8AlCu2 structure.

Cell lengths 8.6227, 13.5490, 5.3096 Å; angles 90.00, 107.10, 90.00 degrees
Space group Cm (No. 8)
Unique sites:
Dy  0.0000  0.0000  0.0000 [2 per cell]
Dy  0.0925  0.3772  0.7792 [4 per cell]
Dy  0.1843  0.1228  0.6042 [4 per cell]
Dy  0.2769  0.5000  0.3833 [2 per cell]
Dy  0.3887  0.2361  0.1916 [4 per cell]
Al  0.3885  0.0000  0.1916 [2 per cell]
Cu  0.3876  0.3079  0.6910 [4 per cell]

- Total DFT energy (no corrections): -98.31 eV per cell
- Volume: 26.95 A^3/atom
- DFT formation energy: -0.04 eV per atom

Entry 2:
VASP calculation (PBE) on a geometry-optimized Dy2AlCu3 structure.

Cell lengths 3.7727, 4.0477, 15.4023 Å; angles 90.00, 90.00, 90.00 degrees
Space group Imm2 (No. 44)
Unique sites:
Dy  0.0000  0.0000  0.0000 [2 per cell]
Dy  0.0000  0.5000  0.2652 [2 per cell]
Al  0.0000  0.0000  0.5957 [2 per cell]
Cu  0.0000  0.0000  0.4337 [2 per cell]
Cu  0.0000  0.5000  0.6796 [2 per cell]
Cu  0.0000  0.5000  0.8381 [2 per cell]

- Total DFT energy (no corrections): -53.75 eV per cell
- Relative energy among the computed polymorphs: 0.017 eV per atom
- Volume: 19.60 A^3/atom
- DFT formation energy: -0.27 eV per atom

Entry 3:
VASP calculation (PBE) on a geometry-optimized Dy3Al2Cu structure.

Cell lengths 3.4284, 3.4284, 11.5249 Å; angles 90.00, 90.00, 90.00 degrees
Space group P4/mmm (No. 123)
Unique sites:
Dy  0.0000  0.0000  0.0000 [1 per cell]
Dy  0.0000  0.0000  0.3469 [2 per cell]
Al  0.5000  0.5000  0.1747 [2 per cell]
Cu  0.5000  0.5000  0.5000 [1 per cell]

- Total DFT energy (no corrections): -27.47 eV per cell
- Volume: 22.58 A^3/atom
- DFT formation energy: -0.35 eV per atom

Entry 4:
VASP calculation (PBE) on a geometry-optimized Dy11Al9Cu4 structure.

Cell lengths 14.0136, 21.0478, 3.5878 Å; angles 90.00, 90.00, 90.00 degrees
Space group Cmmm (No. 65)
Unique sites:
Dy  0.0000  0.0000  0.0000 [2 per cell]
Dy  0.0000  0.1628  0.0000 [4 per cell]
Dy  0.0000  0.3715  0.0000 [4 per cell]
Dy  0.1936  0.5000  0.0000 [4 per cell]
Dy  0.2374  0.1738  0.0000 [8 per cell]
Al  0.0000  0.5000  0.5000 [2 per cell]
Al  0.1015  0.2664  0.5000 [8 per cell]
Al  0.1481  0.0694  0.5000 [8 per cell]
Cu  0.1533  0.3985  0.5000 [8 per cell]

- Total DFT energy (no corrections): -220.01 eV per cell
- Volume: 22.05 A^3/atom
- DFT formation energy: -0.39 eV per atom

Entry 5:
VASP calculation (PBE) on a geometry-optimized Dy4AlCu3 structure.

Cell lengths 3.4957, 4.9855, 9.8957 Å; angles 90.00, 90.00, 90.00 degrees
Space group Pmmm (No. 47)
Unique sites:
Dy  0.0000  0.0000  0.0000 [1 per cell]
Dy  0.0000  0.0000  0.5000 [1 per cell]
Dy  0.0000  0.5000  0.2421 [2 per cell]
Al  0.5000  0.5000  0.5000 [1 per cell]
Cu  0.5000  0.0000  0.2570 [2 per cell]
Cu  0.5000  0.5000  0.0000 [1 per cell]

- Total DFT energy (no corrections): -36.62 eV per cell
- Relative energy among the computed polymorphs: 0.000 eV per atom
- Volume: 21.56 A^3/atom
- DFT formation energy: -0.27 eV per atom

Entry 6:
VASP calculation (PBE) on a geometry-optimized DyAl2Cu4 structure.

Cell lengths 7.1839, 7.1839, 5.3655 Å; angles 90.00, 90.00, 90.00 degrees
Space group I4/mmm (No. 139)
Unique sites:
Dy  0.0000  0.0000  0.0000 [2 per cell]
Al  0.0000  0.5000  0.2500 [4 per cell]
Cu  0.0000  0.2270  0.5000 [8 per cell]

- Total DFT energy (no corrections): -53.99 eV per cell
- Relative energy among the computed polymorphs: 0.557 eV per atom
- Volume: 19.78 A^3/atom
- DFT formation energy: 0.21 eV per atom

Entry 7:
VASP calculation (PBE) on a geometry-optimized Dy5AlCu4 structure.

Cell lengths 3.4678, 3.4678, 17.7441 Å; angles 90.00, 90.00, 90.00 degrees
Space group P4/mmm (No. 123)
Unique sites:
Dy  0.0000  0.0000  0.0000 [1 per cell]
Dy  0.0000  0.0000  0.1960 [2 per cell]
Dy  0.0000  0.0000  0.3920 [2 per cell]
Al  0.5000  0.5000  0.5000 [1 per cell]
Cu  0.5000  0.5000  0.0970 [2 per cell]
Cu  0.5000  0.5000  0.2955 [2 per cell]

- Total DFT energy (no corrections): -45.93 eV per cell
- Volume: 21.34 A^3/atom
- DFT formation energy: -0.28 eV per atom

Entry 8:
VASP calculation (PBE) on a geometry-optimized DyAl3Cu structure.

Cell lengths 4.1321, 4.1321, 10.7161 Å; angles 90.00, 90.00, 90.00 degrees
Space group I4mm (No. 107)
Unique sites:
Dy  0.0000  0.0000  0.0000 [2 per cell]
Al  0.0000  0.0000  0.5952 [2 per cell]
Al  0.0000  0.5000  0.2535 [4 per cell]
Cu  0.0000  0.0000  0.3764 [2 per cell]

- Total DFT energy (no corrections): -44.26 eV per cell
- Relative energy among the computed polymorphs: 0.000 eV per atom
- Volume: 18.30 A^3/atom
- DFT formation energy: -0.44 eV per atom

Entry 9:
VASP calculation (PBE) on a geometry-optimized Dy2Al8Cu structure.

Cell lengths 4.2869, 4.2869, 11.0942 Å; angles 90.00, 90.00, 90.00 degrees
Space group P4/mmm (No. 123)
Unique sites:
Dy  0.0000  0.0000  0.1890 [2 per cell]
Al  0.0000  0.5000  0.0000 [2 per cell]
Al  0.0000  0.5000  0.3775 [4 per cell]
Al  0.5000  0.5000  0.1975 [2 per cell]
Cu  0.0000  0.0000  0.5000 [1 per cell]

- Total DFT energy (no corrections): -46.91 eV per cell
- Volume: 18.53 A^3/atom
- DFT formation energy: -0.33 eV per atom

Entry 10:
VASP calculation (PBE) on a geometry-optimized Dy3Al8Cu3 structure.

Cell lengths 15.6264, 4.2883, 9.4734 Å; angles 90.00, 126.97, 90.00 degrees
Space group C2/m (No. 12)
Unique sites:
Dy  0.0000  0.0000  0.0000 [2 per cell]
Dy  0.2030  0.5000  0.6982 [4 per cell]
Al  0.0019  0.5000  0.3142 [4 per cell]
Al  0.1382  0.0000  0.8540 [4 per cell]
Al  0.1459  0.0000  0.4229 [4 per cell]
Al  0.1541  0.5000  0.0359 [4 per cell]
Cu  0.0000  0.0000  0.5000 [2 per cell]
Cu  0.1544  0.5000  0.2969 [4 per cell]

- Total DFT energy (no corrections): -123.47 eV per cell
- Volume: 18.11 A^3/atom
- DFT formation energy: -0.41 eV per atom

Entry 11:
VASP calculation (PBE) on a geometry-optimized DyAl2Cu9 structure.

Cell lengths 4.9394, 4.9394, 23.8865 Å; angles 90.00, 90.00, 120.00 degrees
Space group R-3m (No. 166, hexagonal axes)
Unique sites:
Dy  0.0000  0.0000  0.0000 [3 per cell]
Al  0.0000  0.0000  0.1447 [6 per cell]
Cu  0.0000  0.0000  0.3340 [6 per cell]
Cu  0.0000  0.0000  0.5000 [3 per cell]
Cu  0.0060  0.5030  0.9132 [18 per cell]

- Total DFT energy (no corrections): -152.88 eV per cell
- Relative energy among the computed polymorphs: 0.026 eV per atom
- Volume: 14.02 A^3/atom
- DFT formation energy: -0.17 eV per atom

Entry 12:
VASP calculation (PBE) on a geometry-optimized Dy2Al2Cu15 structure.

Cell lengths 8.5557, 8.5557, 12.7067 Å; angles 90.00, 90.00, 120.00 degrees
Space group R-3m (No. 166, hexagonal axes)
Unique sites:
Dy  0.0000  0.0000  0.1498 [6 per cell]
Al  0.0000  0.0000  0.3961 [6 per cell]
Cu  0.0000  0.2972  0.5000 [18 per cell]
Cu  0.0000  0.5000  0.0000 [9 per cell]
Cu  0.9996  0.4998  0.3483 [18 per cell]

- Total DFT energy (no corrections): -244.50 eV per cell
- Volume: 14.13 A^3/atom
- DFT formation energy: -0.18 eV per atom

Entry 13:
VASP calculation (PBE) on a geometry-optimized DyAl2Cu6 structure.

Cell lengths 3.3614, 6.7671, 12.2692 Å; angles 90.00, 90.00, 90.00 degrees
Space group Immm (No. 71)
Unique sites:
Dy  0.0000  0.0000  0.0000 [2 per cell]
Al  0.0000  0.5000  0.1378 [4 per cell]
Cu  0.0000  0.1700  0.5000 [4 per cell]
Cu  0.0000  0.3117  0.3182 [8 per cell]

- Total DFT energy (no corrections): -74.96 eV per cell
- Volume: 15.50 A^3/atom
- DFT formation energy: -0.09 eV per atom

Entry 14:
VASP calculation (PBE) on a geometry-optimized DyAlCu11 structure.

Cell lengths 4.8486, 11.9210, 6.5495 Å; angles 90.00, 111.30, 90.00 degrees
Space group C2/m (No. 12)
Unique sites:
Dy  0.0000  0.0000  0.0000 [2 per cell]
Al  0.0000  0.5000  0.5000 [2 per cell]
Cu  0.0000  0.0000  0.5000 [2 per cell]
Cu  0.1079  0.3890  0.2200 [8 per cell]
Cu  0.1709  0.1784  0.3522 [8 per cell]
Cu  0.2500  0.2500  0.0000 [4 per cell]

- Total DFT energy (no corrections): -110.45 eV per cell
- Volume: 13.57 A^3/atom
- DFT formation energy: -0.14 eV per atom

Entry 15:
VASP calculation (PBE) on a geometry-optimized DyAl4Cu8 structure.

Cell lengths 8.5568, 8.5568, 5.0749 Å; angles 90.00, 90.00, 90.00 degrees
Space group I4/mmm (No. 139)
Unique sites:
Dy  0.0000  0.0000  0.0000 [2 per cell]
Al  0.2500  0.2500  0.2500 [8 per cell]
Cu  0.0000  0.2184  0.5000 [8 per cell]
Cu  0.0000  0.3512  0.0000 [8 per cell]

- Total DFT energy (no corrections): -110.98 eV per cell
- Volume: 14.29 A^3/atom
- DFT formation energy: -0.24 eV per atom

Entry 16:
VASP calculation (PBE) on a geometry-optimized DyAl8Cu4 structure.

Cell lengths 8.8247, 8.8247, 5.1230 Å; angles 90.00, 90.00, 90.00 degrees
Space group I4/mmm (No. 139)
Unique sites:
Dy  0.0000  0.0000  0.0000 [2 per cell]
Al  0.0000  0.2182  0.5000 [8 per cell]
Al  0.0000  0.3476  0.0000 [8 per cell]
Cu  0.2500  0.2500  0.2500 [8 per cell]

- Total DFT energy (no corrections): -109.91 eV per cell
- Volume: 15.34 A^3/atom
- DFT formation energy: -0.31 eV per atom

Entry 17:
VASP calculation (PBE) on a geometry-optimized DyAl2Cu10 structure.

Cell lengths 4.9639, 11.8398, 12.2476 Å; angles 90.00, 90.00, 90.00 degrees
Space group Fmmm (No. 69)
Unique sites:
Dy  0.0000  0.0000  0.0000 [4 per cell]
Al  0.2500  0.0000  0.2500 [8 per cell]
Cu  0.0000  0.1105  0.3907 [16 per cell]
Cu  0.0000  0.1780  0.1745 [16 per cell]
Cu  0.2500  0.2500  0.0000 [8 per cell]

- Total DFT energy (no corrections): -219.98 eV per cell
- Volume: 13.84 A^3/atom
- DFT formation energy: -0.15 eV per atom

Entry 18:
VASP calculation (PBE) on a geometry-optimized DyAl4Cu2 structure.

Cell lengths 16.8687, 4.1815, 6.5991 Å; angles 90.00, 90.00, 90.00 degrees
Space group Pnma (No. 62)
Unique sites:
Dy  0.1386  0.2500  0.0113 [4 per cell]
Al  0.0323  0.7500  0.8371 [4 per cell]
Al  0.0719  0.2500  0.4938 [4 per cell]
Al  0.1864  0.7500  0.3218 [4 per cell]
Al  0.1927  0.7500  0.7205 [4 per cell]
Cu  0.0392  0.7500  0.2473 [4 per cell]
Cu  0.2195  0.2500  0.5250 [4 per cell]

- Total DFT energy (no corrections): -121.52 eV per cell
- Relative energy among the computed polymorphs: 0.000 eV per atom
- Volume: 16.62 A^3/atom
- DFT formation energy: -0.37 eV per atom

Entry 19:
VASP calculation (PBE) on a geometry-optimized Dy2Al6Cu9 structure.

Cell lengths 5.2120, 5.2120, 12.0831 Å; angles 90.00, 90.00, 120.00 degrees
Space group P6/mmm (No. 191)
Unique sites:
Dy  0.0000  0.0000  0.1718 [2 per cell]
Al  0.3333  0.6667  0.1642 [4 per cell]
Al  0.3333  0.6667  0.5000 [2 per cell]
Cu  0.0000  0.5000  0.0000 [3 per cell]
Cu  0.0000  0.5000  0.3314 [6 per cell]

- Total DFT energy (no corrections): -71.77 eV per cell
- Volume: 16.72 A^3/atom
- DFT formation energy: -0.19 eV per atom

Entry 20:
VASP calculation (PBE) on a geometry-optimized Dy2Al3Cu2 structure.

Cell lengths 10.2750, 4.1814, 6.8042 Å; angles 90.00, 116.05, 90.00 degrees
Space group C2/m (No. 12)
Unique sites:
Dy  0.1457  0.0000  0.2816 [4 per cell]
Al  0.0000  0.5000  0.5000 [2 per cell]
Al  0.1193  0.5000  0.9372 [4 per cell]
Cu  0.1413  0.0000  0.7264 [4 per cell]

- Total DFT energy (no corrections): -63.19 eV per cell
- Volume: 18.76 A^3/atom
- DFT formation energy: -0.42 eV per atom

It is found that the M_tot values, taken in the order of the records, are 0.00; 0.00; 0.00; 0.00; 0.00; 0.00; 0.00; 0.00; 0.00; 0.00; 0.00; 0.00; 0.00; 0.00; 0.00; 0.00; 0.00; 0.00; 0.00; 0.00 Bohr magnetons per cell.